Below is a geometry-optimized Pm2Tm7Sc2 structure, with properties calculated at the GGA-PBE level.

Calculated values
For the formation energy, the calculation gives 17 kJ/mol of atoms. As for the theoretical density: 7.61 g/cm³. As for the magnetization: 0.01 Bohr magnetons per cell.

a = 3.514 Å, b = 16.991 Å, c = 11.424 Å
α = 90.00°, β = 90.00°, γ = 90.00°
Space group Imm2 (No. 44)
Symmetry-distinct sites (fractional):
Pm1 0.000 0.209 0.000 x4
Tm1 0.000 0.000 0.093 x2
Tm2 0.000 0.111 0.514 x4
Tm3 0.000 0.334 0.754 x4
Tm4 0.000 0.336 0.251 x4
Sc1 0.000 0.000 0.783 x2
Sc2 0.000 0.500 0.840 x2